(1)
LiY2Mg PBE-GGA optimized geometry; energy of formation = 0.04 eV per atom; E_tot = -4.0736 eV per atom
1.0
6.017 -1.823 0.000
6.017 1.823 0.000
-2.419 0.000 4.844
Li Y Mg
1 2 1
Direct
0.000 0.000 0.000
0.534 0.534 0.533
0.752 0.752 0.250
0.302 0.302 0.799



(2)
ZrPd2S4 PBE-GGA optimized geometry; formation energy from raw total energies = -0.7205 eV per atom; polymorph energy (0 for the lowest one) = 0.000 eV per atom; E_tot = -5.7839 eV per atom
1.0
1.762 -6.157 0.000
1.762 6.157 0.000
0.000 0.000 11.620
Zr Pd S
2 4 8
Direct
0.120 0.880 0.750
0.880 0.120 0.250
0.370 0.630 0.573
0.370 0.630 0.927
0.630 0.370 0.073
0.630 0.370 0.427
0.000 0.000 0.000
0.000 0.000 0.500
0.289 0.711 0.114
0.289 0.711 0.386
0.465 0.535 0.750
0.535 0.465 0.250
0.711 0.289 0.614
0.711 0.289 0.886



(3)
MnZnIn PBE-GGA optimized geometry; energy of formation = 0.22 eV per atom; E_tot = -4.1693 eV per atom
1.0
4.463 0.000 0.000
-2.232 3.865 0.000
0.000 0.000 3.009
Mn Zn In
1 1 1
Direct
0.000 0.000 0.000
0.333 0.667 0.303
0.667 0.333 0.570



(4)
Na8GaBi2 PBE-GGA optimized geometry; energy of formation = -0.22 eV per atom; E_tot = -2.1577 eV per atom
1.0
8.163 -2.646 0.000
8.163 2.646 0.000
-5.114 0.000 7.580
Na Ga Bi
8 1 2
Direct
0.000 0.000 0.185
0.000 0.000 0.815
0.141 0.141 0.640
0.343 0.343 0.053
0.344 0.344 0.634
0.656 0.656 0.366
0.657 0.657 0.947
0.859 0.859 0.360
0.500 0.500 0.500
0.207 0.207 0.208
0.793 0.793 0.792



(5)
Ce3Si2Ni2 PBE-GGA optimized geometry; formation energy from raw total energies = -0.6246 eV per atom; polymorph energy (0 for the lowest one) = 0.000 eV per atom; E_tot = -6.3689 eV per atom
1.0
5.566 0.000 0.000
0.000 7.824 0.000
0.000 0.000 12.505
Ce Si Ni
12 8 8
Direct
0.140 0.109 0.099
0.140 0.109 0.401
0.140 0.391 0.599
0.140 0.391 0.901
0.346 0.739 0.750
0.346 0.761 0.250
0.654 0.239 0.750
0.654 0.261 0.250
0.860 0.609 0.099
0.860 0.609 0.401
0.860 0.891 0.599
0.860 0.891 0.901
0.164 0.095 0.750
0.164 0.405 0.250
0.358 0.750 0.000
0.358 0.750 0.500
0.642 0.250 0.000
0.642 0.250 0.500
0.836 0.595 0.750
0.836 0.905 0.250
0.384 0.033 0.590
0.384 0.033 0.910
0.384 0.467 0.090
0.384 0.467 0.410
0.616 0.533 0.590
0.616 0.533 0.910
0.616 0.967 0.090
0.616 0.967 0.410



(6)
Al2SnPbO6 PBE-GGA optimized geometry; formation energy from raw total energies = -2.1298 eV per atom; E_tot = -6.6244 eV per atom
1.0
5.220 -4.990 0.000
5.220 4.990 0.000
-2.034 0.000 5.655
Al Sn Pb O
4 2 2 12
Direct
0.125 0.282 0.158
0.282 0.125 0.658
0.718 0.875 0.342
0.875 0.718 0.842
0.216 0.784 0.250
0.784 0.216 0.750
0.387 0.613 0.750
0.613 0.387 0.250
0.118 0.212 0.840
0.126 0.710 0.898
0.212 0.118 0.340
0.232 0.508 0.306
0.290 0.874 0.602
0.492 0.768 0.194
0.508 0.232 0.806
0.710 0.126 0.398
0.768 0.492 0.694
0.788 0.882 0.660
0.874 0.290 0.102
0.882 0.788 0.160



(7)
Mg2ZnIn PBE-GGA optimized geometry; energy of formation = -0.01 eV per atom; E_tot = -1.8137 eV per atom
1.0
3.414 0.000 0.000
0.000 4.094 0.000
0.000 0.000 6.116
Mg Zn In
2 1 1
Direct
0.000 0.000 0.000
0.500 0.500 0.267
0.000 0.000 0.485
0.500 0.500 0.747



(8)
InSeO3 PBE-GGA optimized geometry; formation energy from raw total energies = 0.0465 eV per atom; E_tot = -4.1730 eV per atom
1.0
4.106 0.000 0.000
0.000 4.106 0.000
0.000 0.000 4.106
In Se O
1 1 3
Direct
0.000 0.000 0.000
0.500 0.500 0.500
0.000 0.000 0.500
0.000 0.500 0.000
0.500 0.000 0.000